No. 1
Sm2UTc3, relaxed, DFT PBE-GGA; DOS(E_F) = 7.10 states/eV per cell; DFT formation energy = 55 meV/atom
1.0
-2.7949 -1.9864 3.4693
0.9429 -7.0996 -3.3053
5.6501 1.3631 5.3323
Tc Sm U
6 4 2
Direct
0.0000 0.1582 0.8418
0.7500 0.3982 0.3982
0.0000 0.8418 0.1582
0.2500 0.6018 0.6018
0.5000 0.8418 0.1582
0.5000 0.1582 0.8418
0.7500 0.5141 0.8250
0.7500 0.8251 0.5141
0.2500 0.4859 0.1750
0.2500 0.1749 0.4859
0.7500 0.1514 0.1514
0.2500 0.8486 0.8486

No. 2
As2RuCBr, relaxed, DFT PBE-GGA; raw formation energy = 1.68 eV/atom; DOS(E_F) = 4.23 states/eV per cell
1.0
4.6912 0.0000 0.0000
0.0000 4.6912 0.0000
0.0000 0.0000 5.3033
As Ru Br C
2 1 1 1
Direct
0.5000 0.0000 0.0000
0.0000 0.5000 0.0000
0.0000 0.0000 0.0000
0.0000 0.0000 0.5000
0.5000 0.5000 0.5000

No. 3
Pm2Sm6Tm3Sc, relaxed, DFT PBE-GGA; DOS(E_F) = 14.92 states/eV per cell; DFT formation energy = 27 meV/atom
1.0
-1.5180 5.2295 -2.9330
-2.1014 -5.4332 -2.0783
-8.1712 1.1203 8.3996
Tm Sm Pm Sc
3 6 2 1
Direct
0.5000 0.5000 0.5000
0.1663 0.8337 0.5000
0.8337 0.1663 0.5000
0.5868 0.9167 0.7486
0.7531 0.7531 0.2518
0.9167 0.5868 0.7486
0.2469 0.2469 0.7482
0.4132 0.0833 0.2514
0.0833 0.4132 0.2514
0.3334 0.6666 0.0000
0.6666 0.3334 0.0000
0.0000 0.0000 0.0000

No. 4
SrCo2Cl6, relaxed, DFT PBE-GGA; raw formation energy = -1.17 eV/atom
1.0
-2.0640 -5.1182 -4.2183
6.8264 -5.8953 0.9014
-4.4959 -5.3471 5.7761
Sr Cl Co
2 12 4
Direct
0.2500 0.1262 0.8738
0.7500 0.8738 0.1262
0.3455 0.0540 0.1873
0.4684 0.6989 0.5813
0.9684 0.5813 0.6989
0.0316 0.4187 0.3011
0.5316 0.3011 0.4187
0.8727 0.8774 0.4074
0.1273 0.1226 0.5926
0.3727 0.4074 0.8774
0.6545 0.9460 0.8127
0.8455 0.1873 0.0540
0.1545 0.8127 0.9460
0.6273 0.5926 0.1226
0.2442 0.6270 0.7739
0.2558 0.2261 0.3730
0.7558 0.3730 0.2261
0.7442 0.7739 0.6270

No. 5
Pm12In5Hg2, relaxed, DFT PBE-GGA; DOS(E_F) = 20.12 states/eV per cell; DFT formation energy = -208 meV/atom
1.0
-5.6196 2.2547 4.3028
0.9716 -9.4986 -0.1656
5.4880 -0.6208 7.4929
In Pm Hg
5 12 2
Direct
0.0000 0.0000 0.5000
0.2289 0.4578 0.7500
0.3010 0.6021 0.2360
0.6990 0.3979 0.7640
0.7711 0.5422 0.2500
0.4018 0.3038 0.4957
0.0417 0.0835 0.8068
0.4947 0.9894 0.6900
0.9232 0.3278 0.0765
0.0980 0.6962 0.5043
0.5053 0.0106 0.3100
0.5954 0.6722 0.9235
0.5982 0.6962 0.5043
0.9583 0.9165 0.1932
0.9020 0.3038 0.4957
0.0768 0.6722 0.9235
0.4046 0.3278 0.0765
0.3157 0.0000 0.0000
0.6843 0.0000 0.0000

No. 6
YTh3Hg7, relaxed, DFT PBE-GGA; DOS(E_F) = 14.78 states/eV per cell; DFT formation energy = -184 meV/atom
1.0
3.5174 0.0000 0.0000
-1.7587 11.0615 0.0000
0.0000 0.0000 15.2735
Th Hg Y
6 14 2
Direct
0.8849 0.7699 0.5348
0.1151 0.2301 0.0348
0.7544 0.5088 0.2500
0.1151 0.2301 0.4652
0.8849 0.7699 0.9652
0.2456 0.4912 0.7500
0.2536 0.5071 0.4234
0.5017 0.0033 0.9073
0.2536 0.5071 0.0766
0.3716 0.7432 0.1530
0.6284 0.2568 0.6530
0.6284 0.2568 0.8470
0.7464 0.4929 0.5766
0.5017 0.0033 0.5927
0.3716 0.7432 0.3470
0.6077 0.2154 0.2500
0.3923 0.7846 0.7500
0.7464 0.4929 0.9234
0.4983 0.9967 0.4073
0.4983 0.9967 0.0927
0.9719 0.9439 0.2500
0.0281 0.0561 0.7500